Computed, not measured: an optimized crystal structure of OsPbC3 at the PBE level of DFT.

Calculated values
Distance to the lowest polymorph of the same formula (meV/atom): 2343
Magnetization (μB per cell): 0.00
Energy of formation from the pure elements (kJ/mol of atoms): 399.2
Calculated density (g/cm3): 9.21

Cell and atoms, written as POSCAR:
```
OsPbC3
1.0
-3.327 -2.623 0.577
1.364 -0.858 3.960
-2.313 3.266 1.504
Pb C Os
1 3 1
Direct
0.000 0.000 0.000
0.000 0.500 0.000
0.000 0.000 0.500
0.500 0.000 0.000
0.500 0.500 0.500
```